Record 1
Computed, not measured: an optimized crystal structure of NdYTlPb at the GGA-PBE level of DFT.

Values from the calculation:
Fermi-level density of states: 0.79 states/eV/atom
ΔH_f (0 K): -439.7 meV per atom

Cell: 5.731 5.731 5.731 Å, 127.28 127.28 77.79°
Atoms (fractional coordinates):
Nd 0.000 0.000 0.000
Y 0.500 0.500 0.000
Tl 0.250 0.750 0.500
Pb 0.750 0.250 0.500

=====

Record 2
Computed, not measured: an optimized crystal structure of MnV8Mo2 at the GGA-PBE level of DFT.

Values from the calculation:
Fermi-level density of states: 1.27 states/eV/atom
ΔH_f (0 K): 178.7 meV per atom

Cell: 6.363 6.363 6.864 Å, 117.04 117.04 39.68°
Atoms (fractional coordinates):
Mn 0.000 0.000 0.000
V 0.065 0.065 0.386
V 0.183 0.183 0.934
V 0.303 0.303 0.705
V 0.452 0.452 0.139
V 0.548 0.548 0.861
V 0.697 0.697 0.295
V 0.817 0.817 0.066
V 0.935 0.935 0.614
Mo 0.352 0.352 0.388
Mo 0.648 0.648 0.612

=====

Record 3
Computed, not measured: an optimized crystal structure of AsICl2 at the GGA-PBE level of DFT.

Values from the calculation:
E_form (uncorrected): 0.095 eV per atom
Fermi-level density of states: 4.22 states/eV/atom

Cell: 7.885 7.885 7.885 Å, 120.11 120.11 89.81°
Atoms (fractional coordinates):
As 0.000 0.000 0.000
As 0.750 0.250 0.500
I 0.250 0.750 0.500
I 0.500 0.500 0.000
Cl 0.375 0.127 0.252
Cl 0.873 0.125 0.248
Cl 0.875 0.123 0.748
Cl 0.877 0.625 0.752

=====

Record 4
Computed, not measured: an optimized crystal structure of Ca2GeH2 at the GGA-PBE level of DFT.

Values from the calculation:
Fermi-level density of states: 0.18 states/eV/atom
E_tot: -3.5965 eV per atom

Cell: 7.344 7.344 7.344 Å, 151.97 151.97 40.05°
Atoms (fractional coordinates):
Ca 0.153 0.153 0.000
Ca 0.847 0.847 0.000
Ge 0.500 0.500 0.000
H 0.250 0.750 0.500
H 0.750 0.250 0.500

=====

Q: Which size of the total moment values were calculated for the entries above? A: 0.00; 0.00; 0.36; 0.00, in μB per formula unit.